No. 1
Here is a geometry-optimized Zr3Cu structure from Alexandria via LeMat-Bulk. Energies are from PBEsol.

As for the density: 7.1 Mg/m³. As for the formation energy from the elements: -1.02 kcal/mol of atoms.

The structure belongs to space group Pnma (No. 62); the cell edges are 5.721, 9.457 and 5.792 Å and the angles 90.00°, 90.00° and 90.00°. The asymmetric unit holds Zr at (0.030, 0.250, 0.159), Zr at (0.227, 0.045, 0.617) and Cu at (0.099, 0.750, 0.380).



No. 2
Here is a geometry-optimized LaZrP structure from Alexandria via LeMat-Bulk. Energies are from PBEsol.

As for the density: 6.6 Mg/m³. As for the formation energy from the elements: -0.22 kcal/mol of atoms. The calculation puts the offset from the most stable computed form at 601.8 meV per atom.

The structure belongs to space group F-43m (No. 216); the cell edges are 6.416, 6.416 and 6.416 Å and the angles 90.00°, 90.00° and 90.00°. The asymmetric unit holds La at (0.000, 0.000, 0.000), Zr at (0.250, 0.250, 0.750) and P at (0.000, 0.000, 0.500).



No. 3
Here is a geometry-optimized Mo structure from Alexandria via LeMat-Bulk. Energies are from PBEsol.

As for the density: 10.4 Mg/m³. As for the formation energy from the elements: 0.00 kcal/mol of atoms. The calculation puts the offset from the most stable computed form at 0.0 meV per atom.

The structure belongs to space group Im-3m (No. 229); the cell edges are 3.125, 3.125 and 3.125 Å and the angles 90.00°, 90.00° and 90.00°. The asymmetric unit holds Mo at (0.000, 0.000, 0.000).